Entry 1:
{
  "formula": "La3BeAl",
  "functional": "PBE",
  "state": "optimized geometry",
  "lattice": [[5.384, 0.000, 0.000], [0.000, 5.384, 0.000], [0.000, 0.000, 5.384]],
  "species": ["La", "La", "La", "Be", "Al"],
  "frac_coords": [[0.000, 0.000, 0.500], [0.000, 0.500, 0.000], [0.500, 0.000, 0.000], [0.000, 0.000, 0.000], [0.500, 0.500, 0.500]],
  "dos_at_fermi_per_ev_cell": 8.45,
  "ef_ev_per_atom": 0.252,
  "energy_ev_per_cell": -20.99,
  "m_tot_mub_per_cell": 0.7,
  "space_group": "Pm-3m, No. 221"
}

Entry 2:
{
  "formula": "LaBeAl2",
  "functional": "PBE",
  "state": "optimized geometry",
  "lattice": [[-2.439, 2.439, 7.977], [2.439, -2.439, 7.977], [2.439, 2.439, -7.977]],
  "species": ["La", "La", "Be", "Be", "Al", "Al", "Al", "Al"],
  "frac_coords": [[0.375, 0.625, 0.750], [0.625, 0.375, 0.250], [0.125, 0.875, 0.250], [0.875, 0.125, 0.750], [0.000, 0.000, 0.000], [0.000, 0.000, 0.500], [0.000, 0.500, 0.000], [0.500, 0.000, 0.500]],
  "dos_at_fermi_per_ev_cell": 3.49,
  "ef_ev_per_atom": 0.039,
  "energy_ev_per_cell": -31.96,
  "m_tot_mub_per_cell": 0.0,
  "space_group": "I4_1/amd, No. 141"
}

Entry 3:
{
  "formula": "LaBeAl2",
  "functional": "PBE",
  "state": "optimized geometry",
  "lattice": [[1.550, 0.895, 9.503], [-1.550, 0.895, 9.503], [0.000, -1.789, 9.503]],
  "species": ["La", "Be", "Al", "Al"],
  "frac_coords": [[0.000, 0.000, 0.000], [0.500, 0.500, 0.500], [0.232, 0.232, 0.232], [0.768, 0.768, 0.768]],
  "dos_at_fermi_per_ev_cell": 1.54,
  "ef_ev_per_atom": 0.288,
  "energy_ev_per_cell": -14.99,
  "m_tot_mub_per_cell": 0.7,
  "space_group": "R-3m, No. 166"
}